The following is a SCAN calculation of Si2TcTe at its PBEsol-relaxed geometry, from Alexandria via LeMat-Bulk.

Properties
Crystal system: cubic
Formation energy from raw total energies, meV/atom: 596

Cell: 6.3787 6.3787 6.3787 Å, 90.00 90.00 90.00°
Space group F-43m (No. 216)
Unique sites:
Si 0.0000 0.0000 0.0000 (multiplicity 4)
Si 0.2500 0.2500 0.2500 (multiplicity 4)
Tc 0.0000 0.0000 0.5000 (multiplicity 4)
Te 0.2500 0.2500 0.7500 (multiplicity 4)

The following is a SCAN calculation of BeAlSb2 at its PBEsol-relaxed geometry, from Alexandria via LeMat-Bulk.

Properties
Crystal system: tetragonal
Formation energy from raw total energies, meV/atom: 62
Excess energy over the best structure of this formula in the dataset, meV per atom: 0

Cell: 5.9246 5.9246 11.5043 Å, 90.00 90.00 90.00°
Space group I-42d (No. 122)
Unique sites:
Be 0.0000 0.0000 0.0000 (multiplicity 4)
Al 0.0000 0.0000 0.5000 (multiplicity 4)
Sb 0.2146 0.2500 0.1250 (multiplicity 8)

The following is a SCAN calculation of La2BiPt2 at its PBEsol-relaxed geometry, from Alexandria via LeMat-Bulk.

Properties
Crystal system: tetragonal
Formation energy, eV/atom: -1.2690

Cell: 8.0507 8.0507 3.7790 Å, 90.00 90.00 90.00°
Space group P4/mbm (No. 127)
Unique sites:
La 0.1737 0.3263 0.0000 (multiplicity 4)
Bi 0.0000 0.0000 0.5000 (multiplicity 2)
Pt 0.1238 0.6238 0.5000 (multiplicity 4)

The following is a SCAN calculation of Ta2GaAuBr at its PBEsol-relaxed geometry, from Alexandria via LeMat-Bulk.

Properties
Crystal system: tetragonal
Formation energy from raw total energies, meV/atom: 1381

Cell: 4.8586 4.8586 4.6055 Å, 90.00 90.00 90.00°
Space group P4/mmm (No. 123)
Unique sites:
Ta 0.0000 0.5000 0.0000 (multiplicity 2)
Ga 0.0000 0.0000 0.0000 (multiplicity 1)
Au 0.0000 0.0000 0.5000 (multiplicity 1)
Br 0.5000 0.5000 0.5000 (multiplicity 1)

The following is a SCAN calculation of TaAl2Sb at its PBEsol-relaxed geometry, from Alexandria via LeMat-Bulk.

Properties
Crystal system: tetragonal
Formation energy from raw total energies, meV/atom: 169

Cell: 4.4982 4.4982 3.5301 Å, 90.00 90.00 90.00°
Space group P4/mmm (No. 123)
Unique sites:
Ta 0.0000 0.0000 0.0000 (multiplicity 1)
Al 0.0000 0.5000 0.5000 (multiplicity 2)
Sb 0.5000 0.5000 0.0000 (multiplicity 1)

The following is a SCAN calculation of Na3CaO at its PBEsol-relaxed geometry, from Alexandria via LeMat-Bulk.

Properties
Crystal system: cubic
Formation energy from raw total energies, meV/atom: -407

Cell: 4.9649 4.9649 4.9649 Å, 90.00 90.00 90.00°
Space group Pm-3m (No. 221)
Unique sites:
Na 0.0000 0.0000 0.5000 (multiplicity 3)
Ca 0.5000 0.5000 0.5000 (multiplicity 1)
O 0.0000 0.0000 0.0000 (multiplicity 1)

The following is a SCAN calculation of Sc2Be2In at its PBEsol-relaxed geometry, from Alexandria via LeMat-Bulk.

Properties
Crystal system: tetragonal
Formation energy, eV/atom: -0.3035

Cell: 6.5472 6.5472 3.8663 Å, 90.00 90.00 90.00°
Space group P4/mbm (No. 127)
Unique sites:
Sc 0.1687 0.3313 0.0000 (multiplicity 4)
Be 0.1183 0.6183 0.5000 (multiplicity 4)
In 0.0000 0.0000 0.5000 (multiplicity 2)

The following is a SCAN calculation of Ca2YAu at its PBEsol-relaxed geometry, from Alexandria via LeMat-Bulk.

Properties
Crystal system: tetragonal
Formation energy, eV/atom: -0.4135
Excess energy over the best structure of this formula in the dataset, meV per atom: 120

Cell: 3.5499 3.5499 9.1587 Å, 90.00 90.00 90.00°
Space group P4/mmm (No. 123)
Unique sites:
Ca 0.0000 0.0000 0.1915 (multiplicity 2)
Y 0.5000 0.5000 0.5000 (multiplicity 1)
Au 0.5000 0.5000 0.0000 (multiplicity 1)